(1)
PrHo4Tl4: relaxed, PBE.

Computed properties:
**E_form**: -15 kJ per mole of atoms
**Size of the total moment**: 0.00 μB/f.u.
**ρ**: 10.07 g/cm3

Cell and atoms, written as CIF:
```
data_PrHo4Tl4
_cell_length_a 9.5664
_cell_length_b 9.5664
_cell_length_c 5.8293
_cell_angle_alpha 90.00
_cell_angle_beta 90.00
_cell_angle_gamma 90.00
_space_group_name_H-M_alt 'P 42/n'
_space_group_IT_number 86
loop_
_space_group_symop_operation_xyz
'x,y,z'
'-x,-y,-z'
'-y,x+1/2,z+1/2'
'y,-x+1/2,-z+1/2'
'-x+1/2,-y+1/2,z'
'x+1/2,y+1/2,-z'
'y+1/2,-x,z+1/2'
'-y+1/2,x,-z+1/2'
loop_
_atom_site_label
_atom_site_fract_x
_atom_site_fract_y
_atom_site_fract_z
_atom_site_occupancy
Pr1 0.2500 0.2500 0.2500 1
Ho1 0.0967 0.8300 0.6476 1
Tl1 0.0365 0.1434 0.8436 1
```

***

(2)
PrY3Cu4: relaxed, PBE.

Computed properties:
**E_form**: -20 kJ per mole of atoms
**Size of the total moment**: 0.00 μB/f.u.
**ρ**: 6.31 g/cm3

Cell and atoms, written as CIF:
```
data_PrY3Cu4
_cell_length_a 4.9802
_cell_length_b 4.9802
_cell_length_c 7.0165
_cell_angle_alpha 90.00
_cell_angle_beta 90.00
_cell_angle_gamma 90.00
_space_group_name_H-M_alt 'P 4/m m m'
_space_group_IT_number 123
_space_group_name_Hall '-P 4 2'
loop_
_atom_site_label
_atom_site_fract_x
_atom_site_fract_y
_atom_site_fract_z
_atom_site_occupancy
Pr1 0.0000 0.0000 0.0000 1
Y1 0.0000 0.0000 0.5000 1
Y2 0.5000 0.5000 0.0000 1
Y3 0.5000 0.5000 0.5000 1
Cu1 0.0000 0.5000 0.2606 1
```

***

Look up the E_form of the first one. -15 kJ per mole of atoms

***

What is the ρ in the second record? 6.31 g/cm3

***

Among the records above, which one has the highest ρ? PrHo4Tl4

***

Which value of ρ does entry 1 give? 10.07 g/cm3